# GGA-PBE SrAu, optimized geometry
# Total DFT energy (no corrections) = -3.260 eV/atom
# Symmetry = P2_1/m
# DFT formation energy = -0.780 eV/atom
# Calculated volume = 30.1 Å³ per atom
# Magnetization = 0.00 Bohr magnetons per cell
data_SrAu
_chemical_formula_sum 'Sr20 Au20'
_cell_length_a 4.8200
_cell_length_b 6.2248
_cell_length_c 40.1736
_cell_angle_alpha 85.82
_cell_angle_beta 90.00
_cell_angle_gamma 90.00
_symmetry_space_group_name_H-M 'P 1'
_symmetry_Int_Tables_number 1
loop_
_symmetry_equiv_pos_as_xyz
'x,y,z'
loop_
_atom_site_label
_atom_site_type_symbol
_atom_site_fract_x
_atom_site_fract_y
_atom_site_fract_z
Au1 Au 0.7500 0.6385 0.2420
Au2 Au 0.2500 0.9919 0.5581
Au3 Au 0.7500 0.4535 0.6419
Au4 Au 0.2500 0.3558 0.2580
Au5 Au 0.2500 0.0881 0.8578
Au6 Au 0.7500 0.8224 0.8420
Au7 Au 0.7500 0.7353 0.0422
Au8 Au 0.2500 0.4523 0.0581
Au9 Au 0.2500 0.3615 0.7580
Au10 Au 0.2500 0.2647 0.9578
Au11 Au 0.2500 0.1709 0.6577
Au12 Au 0.7500 0.6442 0.7420
Au13 Au 0.7500 0.7245 0.5422
Au14 Au 0.7500 0.5477 0.9419
Au15 Au 0.2500 0.1776 0.1580
Au16 Au 0.7500 0.9119 0.1422
Au17 Au 0.2500 0.2755 0.4578
Au18 Au 0.2500 0.5465 0.3581
Au19 Au 0.7500 0.0081 0.4419
Au20 Au 0.7500 0.8291 0.3423
Sr1 Sr 0.7500 0.3363 0.8138
Sr2 Sr 0.2500 0.4779 0.5861
Sr3 Sr 0.2500 0.6637 0.1862
Sr4 Sr 0.7500 0.0599 0.9137
Sr5 Sr 0.7500 0.2500 0.0136
Sr6 Sr 0.7500 0.9651 0.6139
Sr7 Sr 0.7500 0.5221 0.4139
Sr8 Sr 0.2500 0.0349 0.3861
Sr9 Sr 0.2500 0.8497 0.7862
Sr10 Sr 0.2500 0.9401 0.0863
Sr11 Sr 0.7500 0.4261 0.1139
Sr12 Sr 0.2500 0.7629 0.4864
Sr13 Sr 0.7500 0.1503 0.2138
Sr14 Sr 0.7500 0.1579 0.7135
Sr15 Sr 0.2500 0.6572 0.6863
Sr16 Sr 0.2500 0.7500 0.9864
Sr17 Sr 0.7500 0.2371 0.5136
Sr18 Sr 0.2500 0.5739 0.8861
Sr19 Sr 0.7500 0.3428 0.3137
Sr20 Sr 0.2500 0.8421 0.2865